# In2PF

In2PF at its PBEsol-relaxed geometry (meta-GGA SCAN, Alexandria).

Cell and atoms, written as CIF:
```
data_In2PF
_cell_length_a 6.576
_cell_length_b 6.576
_cell_length_c 6.576
_cell_angle_alpha 90.00
_cell_angle_beta 90.00
_cell_angle_gamma 90.00
_space_group_name_H-M_alt 'F m -3 m'
_space_group_IT_number 225
_space_group_name_Hall '-F 4 2 3'
loop_
_atom_site_label
_atom_site_type_symbol
_atom_site_fract_x
_atom_site_fract_y
_atom_site_fract_z
_atom_site_occupancy
In1 In 0.250 0.250 0.250 1
P1 P 0.000 0.000 0.000 1
F1 F 0.000 0.000 0.500 1
```

Values from the calculation:
- total magnetic moment (μB per formula unit) = 0.0
- E_tot (eV per cell) = -333.84
- uncorrected formation energy (kJ/mol of atoms) = -66.3



# In3PF

In3PF at its PBEsol-relaxed geometry (meta-GGA SCAN, Alexandria).

Cell and atoms, written as CIF:
```
data_In3PF
_cell_length_a 4.845
_cell_length_b 4.845
_cell_length_c 4.845
_cell_angle_alpha 90.00
_cell_angle_beta 90.00
_cell_angle_gamma 90.00
_space_group_name_H-M_alt 'P m -3 m'
_space_group_IT_number 221
_space_group_name_Hall '-P 4 2 3'
loop_
_atom_site_label
_atom_site_type_symbol
_atom_site_fract_x
_atom_site_fract_y
_atom_site_fract_z
_atom_site_occupancy
In1 In 0.000 0.000 0.500 1
P1 P 0.500 0.500 0.500 1
F1 F 0.000 0.000 0.000 1
```

Values from the calculation:
- total magnetic moment (μB per formula unit) = 0.0
- E_tot (eV per cell) = -115.06
- uncorrected formation energy (kJ/mol of atoms) = -18.5



- Which formula does entry 1 have?
  In2PF